Entry 1:
{
  "formula": "Ac4CS3",
  "functional": "GGA-PBE",
  "state": "relaxed",
  "spacegroup": "Cmmm",
  "formation_energy_uncorrected_ev_per_atom": -1.491,
  "e_tot_ev_per_atom": -6.246,
  "cell": [[4.319, -6.047, 0.000], [4.319, 6.047, 0.000], [0.000, 0.000, 4.221]],
  "species": ["Ac", "Ac", "Ac", "Ac", "C", "S", "S", "S"],
  "frac_coords": [[0.225, 0.225, 0.500], [0.235, 0.765, 0.000], [0.765, 0.235, 0.000], [0.775, 0.775, 0.500], [0.000, 0.000, 0.000], [0.000, 0.500, 0.500], [0.500, 0.000, 0.500], [0.500, 0.500, 0.000]]
}

Entry 2:
{
  "formula": "Ac3CS2",
  "functional": "GGA-PBE",
  "state": "relaxed",
  "spacegroup": "Fddd",
  "formation_energy_uncorrected_ev_per_atom": -1.323,
  "e_tot_ev_per_atom": -6.290,
  "cell": [[0.000, 6.019, 12.672], [4.280, 0.000, 12.672], [4.280, 6.019, 0.000]],
  "species": ["Ac", "Ac", "Ac", "Ac", "Ac", "Ac", "Ac", "Ac", "Ac", "Ac", "Ac", "Ac", "C", "C", "C", "C", "S", "S", "S", "S", "S", "S", "S", "S"],
  "frac_coords": [[0.035, 0.538, 0.189], [0.098, 0.652, 0.652], [0.189, 0.738, 0.035], [0.262, 0.811, 0.462], [0.348, 0.902, 0.902], [0.462, 0.965, 0.262], [0.538, 0.035, 0.738], [0.652, 0.098, 0.098], [0.738, 0.189, 0.538], [0.811, 0.262, 0.965], [0.902, 0.348, 0.348], [0.965, 0.462, 0.811], [0.041, 0.041, 0.209], [0.209, 0.209, 0.041], [0.791, 0.791, 0.959], [0.959, 0.959, 0.791], [0.127, 0.127, 0.623], [0.294, 0.294, 0.456], [0.377, 0.377, 0.873], [0.456, 0.456, 0.294], [0.544, 0.544, 0.706], [0.623, 0.623, 0.127], [0.706, 0.706, 0.544], [0.873, 0.873, 0.377]]
}

Entry 3:
{
  "formula": "Ac2C2S",
  "functional": "GGA-PBE",
  "state": "relaxed",
  "spacegroup": "C2/c",
  "formation_energy_uncorrected_ev_per_atom": -0.878,
  "e_tot_ev_per_atom": -7.036,
  "cell": [[7.337, -2.187, 0.000], [7.337, 2.187, 0.000], [-1.633, 0.000, 7.178]],
  "species": ["Ac", "Ac", "Ac", "Ac", "C", "C", "C", "C", "S", "S"],
  "frac_coords": [[0.076, 0.658, 0.858], [0.342, 0.924, 0.642], [0.658, 0.076, 0.358], [0.924, 0.342, 0.142], [0.133, 0.416, 0.471], [0.416, 0.133, 0.971], [0.584, 0.867, 0.029], [0.867, 0.584, 0.529], [0.286, 0.714, 0.250], [0.714, 0.286, 0.750]]
}

Entry 4:
{
  "formula": "Ac4CSe2S",
  "functional": "GGA-PBE",
  "state": "relaxed",
  "spacegroup": "P2/m",
  "formation_energy_uncorrected_ev_per_atom": -1.428,
  "e_tot_ev_per_atom": -6.023,
  "cell": [[7.496, 0.000, 0.000], [0.000, 4.272, 0.000], [-2.448, 0.000, 7.263]],
  "species": ["Ac", "Ac", "Ac", "Ac", "C", "Se", "Se", "S"],
  "frac_coords": [[0.221, 0.000, 0.215], [0.239, 0.500, 0.776], [0.761, 0.500, 0.224], [0.779, 0.000, 0.785], [0.000, 0.500, 0.000], [0.000, 0.000, 0.500], [0.500, 0.500, 0.500], [0.500, 0.000, 0.000]]
}